w) ScCd2W after structural relaxation, computed with PBE-GGA.

The structure in POSCAR format:
```
ScCd2W
1.0
-2.3772 4.2183 2.2924
-3.7981 -1.3769 3.5183
5.1002 -1.4590 -0.7478
Sc Cd W
1 2 1
direct
0.5000 0.5000 0.0000 Sc
0.2500 0.7500 0.5000 Cd
0.0000 0.0000 0.0000 Cd
0.7500 0.2500 0.5000 W
```

Properties
space-group type: No. 119

x) ScCd2W after structural relaxation, computed with PBE-GGA.

The structure in POSCAR format:
```
ScCd2W
1.0
-4.4946 0.2347 0.0409
-0.1284 -2.0976 -2.0691
-0.3033 -6.1668 2.0520
Cd Sc W
2 1 1
direct
0.0000 0.0082 0.9910 Cd
0.0000 0.4918 0.5090 Cd
0.5000 0.2500 0.2500 Sc
0.5000 0.7500 0.7500 W
```

Properties
space-group type: No. 10

y) ScCd2W after structural relaxation, computed with PBE-GGA.

The structure in POSCAR format:
```
ScCd2W
1.0
10.4195 0.0062 0.0036
9.9925 2.9523 0.0036
9.9925 1.4483 2.5727
Sc Cd W
1 2 1
direct
0.2500 0.2500 0.2500 Sc
0.0033 0.0033 0.0033 Cd
0.4967 0.4967 0.4967 Cd
0.7500 0.7500 0.7500 W
```

Properties
space-group type: No. 166

z) ScCd2W after structural relaxation, computed with PBE-GGA.

The structure in POSCAR format:
```
ScCd2W
1.0
2.9129 -0.0010 0.0000
-0.5472 2.8610 0.0000
0.0000 0.0000 9.4417
Sc Cd W
1 2 1
direct
0.0000 0.0000 0.5159 Sc
0.5000 0.5000 0.2510 Cd
0.0000 0.0000 0.9883 Cd
0.5000 0.5000 0.7448 W
```

Properties
space-group type: No. 35

Most stable of them? z).

w) ScCd2W after structural relaxation, computed with PBE-GGA.

The structure in POSCAR format:
```
ScCd2W
1.0
-0.7119 1.9106 2.1705
-3.1401 -2.5921 1.2518
3.9214 -2.8975 3.8369
Sc Cd W
1 2 1
direct
0.0000 0.0000 0.5191 Sc
0.5000 0.5000 0.2471 Cd
0.0000 0.0000 0.9957 Cd
0.5000 0.5000 0.7381 W
```

Properties
space-group type: No. 25

x) ScCd2W after structural relaxation, computed with PBE-GGA.

The structure in POSCAR format:
```
ScCd2W
1.0
5.1802 0.0032 -0.0121
4.3450 2.8207 -0.0121
0.7935 0.2352 5.3642
Sc W Cd
1 1 2
direct
0.5079 0.5079 0.4723 Sc
0.2469 0.2469 0.2701 W
0.9959 0.9959 0.9971 Cd
0.7493 0.7493 0.7605 Cd
```

Properties
space-group type: No. 8

Most stable of them? w).

w) ScCd2W after structural relaxation, computed with PBE-GGA.

The structure in POSCAR format:
```
ScCd2W
1.0
-2.0630 0.4790 -4.3485
2.4969 -1.0949 -3.9952
-1.1565 -3.9283 -2.5741
W Cd Sc
1 2 1
direct
0.7500 0.7500 0.7500 W
0.0000 0.0000 0.0000 Cd
0.2500 0.2500 0.2500 Cd
0.5000 0.5000 0.5000 Sc
```

Properties
space-group type: No. 216

x) ScCd2W after structural relaxation, computed with PBE-GGA.

The structure in POSCAR format:
```
ScCd2W
1.0
5.3169 -0.0046 -0.0144
-3.1603 5.6958 0.0227
0.0072 1.5339 2.5316
Cd Sc W
2 1 1
direct
0.0000 0.5000 0.5000 Cd
0.0000 0.0000 0.0000 Cd
0.5000 0.5000 0.0000 Sc
0.5000 0.0000 0.5000 W
```

Properties
space-group type: No. 65

Most stable of them? x).

w) ScCd2W after structural relaxation, computed with PBE-GGA.

The structure in POSCAR format:
```
ScCd2W
1.0
5.4091 0.0038 0.0116
4.6162 2.8195 0.0116
0.7601 0.2140 5.1483
Cd Sc W
2 1 1
direct
0.9943 0.9943 0.0095 Cd
0.5057 0.5057 0.4905 Cd
0.7500 0.7500 0.7500 Sc
0.2500 0.2500 0.2500 W
```

Properties
space-group type: No. 12

x) ScCd2W after structural relaxation, computed with PBE-GGA.

The structure in POSCAR format:
```
ScCd2W
1.0
0.0000 3.3961 3.3961
3.3961 0.0000 3.3961
3.3961 3.3961 0.0000
Cd Sc W
2 1 1
direct
0.7500 0.7500 0.7500 Cd
0.2500 0.2500 0.2500 Cd
0.0000 0.0000 0.0000 Sc
0.5000 0.5000 0.5000 W
```

Properties
space-group type: No. 225

Most stable of them? w).

w) ScCdW after structural relaxation, computed with PBE-GGA.

The structure in POSCAR format:
```
ScCdW
1.0
-2.0569 0.1950 -2.2164
2.1560 -2.1259 -0.1166
-4.3880 -4.6511 3.6628
W Cd Sc
1 1 1
direct
0.3333 0.6667 0.6589 W
0.0000 0.0000 0.9931 Cd
0.6667 0.3333 0.3480 Sc
```

Properties
space-group type: No. 156

x) ScCdW after structural relaxation, computed with PBE-GGA.

The structure in POSCAR format:
```
ScCdW
1.0
7.2894 0.0086 0.0000
6.1639 3.8913 0.0000
-6.7267 -1.9500 2.0212
Cd Sc W
1 1 1
direct
0.0042 0.0042 0.0000 Cd
0.3267 0.3267 0.0000 Sc
0.6691 0.6691 0.0000 W
```

Properties
space-group type: No. 107

y) ScCdW after structural relaxation, computed with PBE-GGA.

The structure in POSCAR format:
```
ScCdW
1.0
-4.5993 -2.6332 1.1038
-1.7040 -4.4501 -2.5688
3.8752 2.4548 2.8745
W Sc Cd
1 1 1
direct
0.6692 0.6692 0.0000 W
0.3270 0.3270 0.0000 Sc
0.0038 0.0038 0.0000 Cd
```

Properties
space-group type: No. 44

Most stable of them? x).

w) YScCd3 after structural relaxation, computed with PBE-GGA.

The structure in POSCAR format:
```
YScCd3
1.0
5.2994 0.0000 0.0000
0.0000 5.2994 0.0000
0.0000 0.0000 5.2994
Cd Y Sc
3 1 1
direct
0.0000 0.5000 0.0000 Cd
0.0000 0.0000 0.5000 Cd
0.5000 0.0000 0.0000 Cd
0.5000 0.5000 0.5000 Y
0.0000 0.0000 0.0000 Sc
```

Properties
space-group type: No. 221

x) YScCd3 after structural relaxation, computed with PBE-GGA.

The structure in POSCAR format:
```
YScCd3
1.0
-0.9846 -2.3756 2.2271
4.3792 -2.1167 -0.3219
5.2552 9.3906 9.7421
Cd Sc Y
6 2 2
direct
0.6252 0.7500 0.2505 Cd
0.3748 0.2500 0.7495 Cd
0.6803 0.2500 0.3605 Cd
0.5248 0.7500 0.0496 Cd
0.4752 0.2500 0.9504 Cd
0.3197 0.7500 0.6395 Cd
0.7830 0.2500 0.5661 Sc
0.2170 0.7500 0.4339 Sc
0.9234 0.7500 0.8467 Y
0.0766 0.2500 0.1533 Y
```

Properties
space-group type: No. 63

Most stable of them? x).